# 1
A geometry-optimized KAg2Pb structure, computed with PBE-GGA.

Unit cell a=5.250 b=5.250 c=5.250 alpha=60.00 beta=60.00 gamma=60.00
Element x y z (fractional)
K 0.000 0.000 0.000
Ag 0.250 0.250 0.250
Ag 0.500 0.500 0.500
Pb 0.750 0.750 0.750

Values from the calculation:
density of states at the Fermi level: 1.89 states/eV per cell
formation enthalpy at 0 K: 0.80 eV per formula unit


# 2
A geometry-optimized KAg2Pb structure, computed with PBE-GGA.

Unit cell a=5.239 b=5.239 c=3.869 alpha=90.00 beta=90.00 gamma=90.00
Element x y z (fractional)
K 0.000 0.000 0.000
Ag 0.000 0.500 0.500
Ag 0.500 0.000 0.500
Pb 0.500 0.500 0.000

Values from the calculation:
density of states at the Fermi level: 1.56 states/eV per cell
formation enthalpy at 0 K: 0.53 eV per formula unit


Question: Which formula does entry 1 have?
Answer: KAg2Pb